A crystal of Ga2SnHg2 relaxed with PBEsol. Source: Alexandria, functional meta-GGA SCAN.

Cell: 8.3572 8.3572 3.1495 Å, 90.00 90.00 90.00°
Element x y z (fractional)
Ga 0.1212 0.3787 0.0000
Ga 0.3787 0.8788 0.0000
Ga 0.6212 0.1212 0.0000
Ga 0.8788 0.6212 0.0000
Sn 0.0000 0.0000 0.5000
Sn 0.5000 0.5000 0.5000
Hg 0.1773 0.6773 0.5000
Hg 0.3227 0.1773 0.5000
Hg 0.6773 0.8227 0.5000
Hg 0.8227 0.3227 0.5000

Summary:
E_form (eV/atom): 0.17
Size of the total moment (μB/cell): 0.00
Excess energy over the best structure of this formula in the dataset (meV per atom): 0

***

A crystal of B3Pd16 relaxed with PBEsol. Source: Alexandria, functional meta-GGA SCAN.

Cell: 8.9725 8.9725 8.9458 Å, 113.82 113.82 53.13°
Element x y z (fractional)
B 0.1248 0.8752 0.7500
B 0.1981 0.4339 0.0007
B 0.4339 0.1981 0.5007
B 0.5661 0.8019 0.4993
B 0.8019 0.5661 0.9993
B 0.8752 0.1248 0.2500
Pd 0.0020 0.2536 0.2497
Pd 0.0606 0.8116 0.4925
Pd 0.0645 0.3058 0.9988
Pd 0.1245 0.3732 0.7440
Pd 0.1315 0.8685 0.2500
Pd 0.1783 0.4481 0.5005
Pd 0.1884 0.9394 0.0075
Pd 0.2520 0.5005 0.2565
Pd 0.2536 0.0020 0.7497
Pd 0.3058 0.0645 0.4988
Pd 0.3170 0.5671 0.9998
Pd 0.3732 0.1245 0.2440
Pd 0.3811 0.6189 0.7500
Pd 0.4329 0.6830 0.5002
Pd 0.4481 0.1783 0.0005
Pd 0.5005 0.2520 0.7565
Pd 0.4995 0.7480 0.2435
Pd 0.5519 0.8217 0.9995
Pd 0.5671 0.3170 0.4998
Pd 0.6189 0.3811 0.2500
Pd 0.6268 0.8755 0.7560
Pd 0.6830 0.4329 0.0002
Pd 0.6942 0.9355 0.5012
Pd 0.7464 0.9980 0.2503
Pd 0.7480 0.4995 0.7435
Pd 0.8116 0.0606 0.9925
Pd 0.8217 0.5519 0.4995
Pd 0.8685 0.1315 0.7500
Pd 0.8755 0.6268 0.2560
Pd 0.9355 0.6942 0.0012
Pd 0.9394 0.1884 0.5075
Pd 0.9980 0.7464 0.7503

Summary:
E_form (eV/atom): -0.24
Size of the total moment (μB/cell): 0.00

***

A crystal of Ca2AgPt relaxed with PBEsol. Source: Alexandria, functional meta-GGA SCAN.

Cell: 7.5145 7.5145 7.5145 Å, 31.52 31.52 31.52°
Element x y z (fractional)
Ca 0.2400 0.2400 0.2400
Ca 0.7600 0.7600 0.7600
Ag 0.0000 0.0000 0.0000
Pt 0.5000 0.5000 0.5000

Summary:
E_form (eV/atom): -0.51
Size of the total moment (μB/cell): 0.00

***

A crystal of Tc2PtSe relaxed with PBEsol. Source: Alexandria, functional meta-GGA SCAN.

Cell: 8.8474 8.8474 8.8474 Å, 18.34 18.34 18.34°
Element x y z (fractional)
Tc 0.0000 0.0000 0.0000
Tc 0.2526 0.2526 0.2526
Pt 0.7510 0.7510 0.7510
Se 0.5110 0.5110 0.5110

Summary:
Total DFT energy (no corrections) (eV for the cell shown): -159.738
Size of the total moment (μB/cell): 0.00

***

A crystal of CsTeBr2 relaxed with PBEsol. Source: Alexandria, functional meta-GGA SCAN.

Cell: 5.7922 5.7922 5.7922 Å, 60.00 60.00 60.00°
Element x y z (fractional)
Cs 0.0000 0.0000 0.0000
Te 0.5000 0.5000 0.5000
Br 0.2500 0.2500 0.2500
Br 0.7500 0.7500 0.7500

Summary:
Total DFT energy (no corrections) (eV for the cell shown): -116.604
Size of the total moment (μB/cell): 3.00

***

A crystal of Nb2PPbI relaxed with PBEsol. Source: Alexandria, functional meta-GGA SCAN.

Cell: 5.3822 5.3822 4.9303 Å, 90.00 90.00 90.00°
Element x y z (fractional)
Nb 0.0000 0.5000 0.0000
Nb 0.5000 0.0000 0.0000
P 0.0000 0.0000 0.5000
Pb 0.0000 0.0000 0.0000
I 0.5000 0.5000 0.5000

Summary:
Total DFT energy (no corrections) (eV for the cell shown): -181.010
Size of the total moment (μB/cell): 4.72

***

A crystal of AlCd2Pb relaxed with PBEsol. Source: Alexandria, functional meta-GGA SCAN.

Cell: 3.5478 4.9725 5.2295 Å, 90.00 90.00 90.00°
Element x y z (fractional)
Al 0.0000 0.0000 0.0000
Cd 0.0000 0.5000 0.5000
Cd 0.5000 0.0000 0.5000
Pb 0.5000 0.5000 0.0000

Summary:
E_form (eV/atom): 0.22
Size of the total moment (μB/cell): 0.00
Excess energy over the best structure of this formula in the dataset (meV per atom): 93

***

A crystal of ZrMnW2 relaxed with PBEsol. Source: Alexandria, functional meta-GGA SCAN.

Cell: 4.4149 4.4149 4.4149 Å, 60.00 60.00 60.00°
Element x y z (fractional)
Zr 0.0000 0.0000 0.0000
Mn 0.5000 0.5000 0.5000
W 0.2500 0.2500 0.2500
W 0.7500 0.7500 0.7500

Summary:
E_form (eV/atom): 0.35
Size of the total moment (μB/cell): 0.00
Excess energy over the best structure of this formula in the dataset (meV per atom): 245

***

A crystal of Ti2Bi2O7 relaxed with PBEsol. Source: Alexandria, functional meta-GGA SCAN.

Cell: 7.3358 10.3814 7.3919 Å, 90.00 90.00 90.00°
Element x y z (fractional)
Ti 0.0073 0.0092 0.0000
Ti 0.2410 0.7391 0.7602
Ti 0.2590 0.2391 0.2602
Ti 0.4927 0.5092 0.5000
Ti 0.5073 0.4908 0.0000
Ti 0.7410 0.7609 0.7602
Ti 0.7590 0.2609 0.2602
Ti 0.9927 0.9908 0.5000
Bi 0.0319 0.4699 0.0309
Bi 0.2235 0.7624 0.2131
Bi 0.2765 0.2624 0.7131
Bi 0.4681 0.9699 0.5309
Bi 0.5319 0.0301 0.0309
Bi 0.7235 0.7376 0.2131
Bi 0.7765 0.2376 0.7131
Bi 0.9681 0.5301 0.5309
O 0.0034 0.9267 0.2624
O 0.0120 0.3158 0.2461
O 0.0146 0.3787 0.7452
O 0.1729 0.8644 0.9541
O 0.1902 0.8762 0.5720
O 0.2054 0.1144 0.0753
O 0.2089 0.1234 0.4616
O 0.2911 0.6234 0.9616
O 0.2947 0.6144 0.5753
O 0.3098 0.3762 0.0720
O 0.3271 0.3644 0.4541
O 0.4854 0.8787 0.2452
O 0.4880 0.8158 0.7461
O 0.4966 0.4267 0.7624
O 0.5034 0.5733 0.2624
O 0.5120 0.1842 0.2461
O 0.5146 0.1213 0.7452
O 0.6729 0.6356 0.9541
O 0.6902 0.6238 0.5720
O 0.7054 0.3856 0.0753
O 0.7089 0.3766 0.4616
O 0.7911 0.8766 0.9616
O 0.7946 0.8856 0.5753
O 0.8098 0.1238 0.0720
O 0.8271 0.1356 0.4541
O 0.9854 0.6213 0.2452
O 0.9880 0.6842 0.7461
O 0.9966 0.0733 0.7624

Summary:
Size of the total moment (μB/cell): 0.00
Excess energy over the best structure of this formula in the dataset (meV per atom): 0

***

A crystal of NbBPt3 relaxed with PBEsol. Source: Alexandria, functional meta-GGA SCAN.

Cell: 4.1938 4.1938 4.1938 Å, 90.00 90.00 90.00°
Element x y z (fractional)
Nb 0.0000 0.0000 0.0000
B 0.5000 0.5000 0.5000
Pt 0.0000 0.5000 0.5000
Pt 0.5000 0.0000 0.5000
Pt 0.5000 0.5000 0.0000

Summary:
E_form (eV/atom): -0.08
Size of the total moment (μB/cell): 2.23

***

A crystal of KNb3Re relaxed with PBEsol. Source: Alexandria, functional meta-GGA SCAN.

Cell: 4.4818 4.4818 4.4818 Å, 90.00 90.00 90.00°
Element x y z (fractional)
K 0.0000 0.0000 0.0000
Nb 0.0000 0.0000 0.5000
Nb 0.0000 0.5000 0.0000
Nb 0.5000 0.0000 0.0000
Re 0.5000 0.5000 0.5000

Summary:
E_form (eV/atom): 2.96
Size of the total moment (μB/cell): 0.00

***

A crystal of CuTcRh2 relaxed with PBEsol. Source: Alexandria, functional meta-GGA SCAN.

Cell: 2.6239 2.6239 8.8132 Å, 90.00 90.00 117.52°
Element x y z (fractional)
Cu 0.0000 0.0000 0.0000
Tc 0.0000 0.0000 0.5000
Rh 0.5000 0.5000 0.2467
Rh 0.5000 0.5000 0.7533

Summary:
E_form (eV/atom): 0.20
Size of the total moment (μB/cell): 0.00
Excess energy over the best structure of this formula in the dataset (meV per atom): 269

***

Which of these has the highest size of the total moment? Nb2PPbI

***

Number 2 is which compound? B3Pd16